{"formula": "URe2Mo", "functional": "PBE", "state": "relaxed", "polymorph_energy_ev_per_atom": 0.0000, "e_tot_ev_per_atom": -11.649, "formation_enthalpy_0k_ev_per_atom": 0.11, "cell": [[3.0550, 0.0000, 0.0000], [0.0000, 3.0550, 0.0000], [0.0000, 0.0000, 7.3701]], "species": ["Re", "Re", "Mo", "U"], "frac_coords": [[0.0000, 0.0000, 0.7849], [0.0000, 0.0000, 0.2151], [0.5000, 0.5000, 0.0000], [0.5000, 0.5000, 0.5000]]}

{"formula": "UReMo2", "functional": "PBE", "state": "relaxed", "polymorph_energy_ev_per_atom": 0.0535, "e_tot_ev_per_atom": -11.132, "formation_enthalpy_0k_ev_per_atom": 0.22, "cell": [[-2.9655, 0.3679, -0.3692], [-0.2366, -2.8507, -0.9400], [-1.1916, -2.3008, 7.2775]], "species": ["Re", "Mo", "Mo", "U"], "frac_coords": [[0.5000, 0.5000, 0.0000], [0.0000, 0.0000, 0.7879], [0.0000, 0.0000, 0.2121], [0.5000, 0.5000, 0.5000]]}

{"formula": "U2ReMo", "functional": "PBE", "state": "relaxed", "e_tot_ev_per_atom": -10.856, "formation_enthalpy_0k_ev_per_atom": 0.61, "cell": [[2.9942, 0.0000, 0.0000], [1.4971, 2.5931, 0.0000], [1.4971, 0.8644, 9.7437]], "species": ["Re", "Mo", "U", "U"], "frac_coords": [[0.0000, 0.0000, 0.0000], [0.5000, 0.5000, 0.5000], [0.0868, 0.0868, 0.7395], [0.9132, 0.9132, 0.2605]]}

{"formula": "UReMo2", "functional": "PBE", "state": "relaxed", "polymorph_energy_ev_per_atom": 0.0000, "e_tot_ev_per_atom": -11.186, "formation_enthalpy_0k_ev_per_atom": 0.16, "cell": [[3.1599, 0.0000, 0.0000], [0.0000, 4.6592, 0.0000], [0.0000, 0.0000, 4.6592]], "species": ["Re", "Mo", "Mo", "U"], "frac_coords": [[0.5000, 0.0000, 0.0000], [0.0000, 0.0000, 0.5000], [0.0000, 0.5000, 0.0000], [0.5000, 0.5000, 0.5000]]}

{"formula": "U6Re2Mo", "functional": "PBE", "state": "relaxed", "e_tot_ev_per_atom": -11.190, "formation_enthalpy_0k_ev_per_atom": 0.31, "cell": [[-4.1136, -1.4175, -1.6998], [2.6555, -4.2523, -2.8806], [0.8849, -0.7834, 7.7753]], "species": ["U", "U", "U", "U", "U", "U", "Re", "Re", "Mo"], "frac_coords": [[0.6012, 0.8935, 0.2331], [0.7831, 0.7801, 0.5603], [0.6012, 0.3396, 0.2331], [0.3988, 0.1065, 0.7669], [0.2169, 0.2199, 0.4397], [0.3988, 0.6604, 0.7669], [0.0506, 0.5940, 0.1880], [0.9494, 0.4060, 0.8120], [0.0000, 0.0000, 0.0000]]}

{"formula": "UReMo2", "functional": "PBE", "state": "relaxed", "polymorph_energy_ev_per_atom": 0.0709, "e_tot_ev_per_atom": -11.115, "formation_enthalpy_0k_ev_per_atom": 0.23, "cell": [[-4.5426, -0.4367, 0.5928], [-2.0308, -4.0700, -0.6986], [-1.6344, -2.3990, 3.5708]], "species": ["Re", "Mo", "Mo", "U"], "frac_coords": [[0.5000, 0.5000, 0.5000], [0.2500, 0.2500, 0.2500], [0.7500, 0.7500, 0.7500], [0.0000, 0.0000, 0.0000]]}

{"formula": "URe2Mo", "functional": "PBE", "state": "relaxed", "polymorph_energy_ev_per_atom": 0.1741, "e_tot_ev_per_atom": -11.474, "formation_enthalpy_0k_ev_per_atom": 0.28, "cell": [[-1.2932, 2.3419, 0.9256], [-2.8244, 0.1788, -0.0695], [-1.8322, -2.9465, 9.2240]], "species": ["Re", "Re", "Mo", "U"], "frac_coords": [[0.7420, 0.7420, 0.7739], [0.2580, 0.2580, 0.2261], [0.0000, 0.0000, 0.0000], [0.5000, 0.5000, 0.5000]]}

{"formula": "URe2Mo", "functional": "PBE", "state": "relaxed", "polymorph_energy_ev_per_atom": 0.0492, "e_tot_ev_per_atom": -11.599, "formation_enthalpy_0k_ev_per_atom": 0.15, "cell": [[-2.8580, 0.9072, 1.1629], [-1.0567, -4.4201, 0.8514], [1.8384, 0.3745, 4.2260]], "species": ["Re", "Re", "Mo", "U"], "frac_coords": [[0.0000, 0.0000, 0.5000], [0.0000, 0.5000, 0.0000], [0.5000, 0.5000, 0.5000], [0.5000, 0.0000, 0.0000]]}

{"formula": "V6Re5Mo", "functional": "PBE", "state": "relaxed", "e_tot_ev_per_atom": -10.979, "formation_enthalpy_0k_ev_per_atom": -0.33, "cell": [[4.0849, -0.0244, 1.3613], [0.0327, 6.0880, 0.0109], [-0.0008, -0.0122, 6.8119]], "species": ["Re", "Re", "Re", "Re", "Re", "Mo", "V", "V", "V", "V", "V", "V"], "frac_coords": [[0.6670, 0.5000, 0.6660], [0.3328, 0.0000, 0.3344], [0.0000, 0.5000, 0.0000], [0.6672, 0.0000, 0.6656], [0.3330, 0.5000, 0.3340], [0.0000, 0.0000, 0.0000], [0.8332, 0.7497, 0.3337], [0.8332, 0.2503, 0.3337], [0.5000, 0.2498, 0.0000], [0.5000, 0.7502, 0.0000], [0.1668, 0.7497, 0.6663], [0.1668, 0.2503, 0.6663]]}

{"formula": "V4ReMo2", "functional": "PBE", "state": "relaxed", "polymorph_energy_ev_per_atom": 1.1803, "e_tot_ev_per_atom": -8.885, "formation_enthalpy_0k_ev_per_atom": 1.20, "cell": [[-2.6904, -2.1119, -2.9918], [2.2012, -3.8995, 0.7732], [-4.2012, -4.3460, 3.3950]], "species": ["Re", "Mo", "Mo", "V", "V", "V", "V"], "frac_coords": [[0.0000, 0.0000, 0.0000], [0.3786, 0.3786, 0.2428], [0.6214, 0.6214, 0.7572], [0.1962, 0.1962, 0.6075], [0.8038, 0.8038, 0.3925], [0.0000, 0.5000, 0.0000], [0.5000, 0.0000, 0.0000]]}

{"formula": "V7ReMo12", "functional": "PBE", "state": "relaxed", "e_tot_ev_per_atom": -10.000, "formation_enthalpy_0k_ev_per_atom": 0.31, "cell": [[-2.9395, -2.7108, -5.5416], [1.5876, -6.2125, 2.3628], [-5.9468, -0.0918, 3.3653]], "species": ["V", "V", "V", "V", "V", "V", "V", "Re", "Mo", "Mo", "Mo", "Mo", "Mo", "Mo", "Mo", "Mo", "Mo", "Mo", "Mo", "Mo"], "frac_coords": [[0.8706, 0.6153, 0.9326], [0.3847, 0.0674, 0.1294], [0.0674, 0.1294, 0.3847], [0.5000, 0.5000, 0.5000], [0.9326, 0.8706, 0.6153], [0.6153, 0.9326, 0.8706], [0.1294, 0.3847, 0.0674], [0.0000, 0.0000, 0.0000], [0.8710, 0.2571, 0.7426], [0.7429, 0.2574, 0.1290], [0.6059, 0.1539, 0.4856], [0.8461, 0.5144, 0.3941], [0.2574, 0.1290, 0.7429], [0.5144, 0.3941, 0.8461], [0.4856, 0.6059, 0.1539], [0.7426, 0.8710, 0.2571], [0.1539, 0.4856, 0.6059], [0.3941, 0.8461, 0.5144], [0.2571, 0.7426, 0.8710], [0.1290, 0.7429, 0.2574]]}

{"formula": "V4ReMo", "functional": "PBE", "state": "relaxed", "polymorph_energy_ev_per_atom": 0.1033, "e_tot_ev_per_atom": -9.966, "formation_enthalpy_0k_ev_per_atom": -0.01, "cell": [[4.9214, 0.0000, 0.0000], [2.4607, 4.2620, 0.0000], [2.4607, 1.4207, 4.0183]], "species": ["Re", "Mo", "V", "V", "V", "V"], "frac_coords": [[0.0000, 0.0000, 0.0000], [0.2500, 0.2500, 0.2500], [0.6251, 0.6251, 0.1246], [0.6251, 0.1246, 0.6251], [0.6251, 0.6251, 0.6251], [0.1246, 0.6251, 0.6251]]}